# 1
Computed, not measured: HfMn2Ni2 after structural relaxation at the PBE-GGA level of DFT.

Unit cell a=3.7533 b=3.7533 c=5.4768 alpha=69.96 beta=69.96 gamma=90.00
With the nearest neighbours (Å) after each atom.
Element x y z (fractional)
Mn 0.3987 0.3987 0.2025  1 Mn 1.94
Ni 0.7500 0.2500 0.5000  4 Mn 2.36
Hf 0.0000 0.0000 0.0000  8 Mn 2.83, 8 Ni 3.04
Mn 0.6013 0.6013 0.7975  1 Mn 1.94
Ni 0.2500 0.7500 0.5000  4 Mn 2.36

Output
Energy relative to the lowest polymorph listed for this composition: 22 meV/atom
Calculated total energy: -40.0 eV for the cell shown
Space group: No. 139
Magnetization: 0.20 μB per atom
Formation energy from the elements: -0.032 eV/atom

# 2
Computed, not measured: KTcW2 after structural relaxation at the PBE-GGA level of DFT.

Unit cell a=2.7832 b=2.7832 c=10.4123 alpha=90.00 beta=90.00 gamma=110.58
With the nearest neighbours (Å) after each atom.
Element x y z (fractional)
K 0.0000 0.0000 0.5084  4 K 2.78
Tc 0.5000 0.5000 0.7928  2 W 2.63, 4 Tc 2.78
W 0.5000 0.5000 0.2044  6 W 2.70-2.78
W 0.0000 0.0000 0.9945  2 Tc 2.63, 6 W 2.70-2.78

Output
Energy relative to the lowest polymorph listed for this composition: 0 meV/atom
Calculated total energy: -34.3 eV for the cell shown
Space group: No. 35
Magnetization: 0.00 μB per atom
Formation energy from the elements: 0.758 eV/atom

# 3
Computed, not measured: PmHo6Tl5 after structural relaxation at the PBE-GGA level of DFT.

Unit cell a=6.1996 b=10.4172 c=7.6494 alpha=47.08 beta=80.87 gamma=76.52
With the nearest neighbours (Å) after each atom.
Element x y z (fractional)
Pm 0.0000 0.0000 0.0000  6 Tl 3.42-3.48, 6 Ho 3.48-3.54
Ho 0.2614 0.5493 0.3560  5 Tl 3.17-3.52, 1 Ho 3.50, 1 Pm 3.54
Tl 0.0000 0.6944 0.6111  6 Ho 3.17-3.28, 1 Pm 3.42
Tl 0.0000 0.3056 0.3889  6 Ho 3.17-3.28, 1 Pm 3.42
Tl 0.5000 0.1418 0.7165  1 Tl 3.18, 6 Ho 3.20-3.52, 2 Pm 3.48
Ho 0.2315 0.2737 0.0000  5 Tl 3.19-3.35, 1 Pm 3.48
Tl 0.5000 0.8582 0.2835  1 Tl 3.18, 6 Ho 3.20-3.52, 2 Pm 3.48
Ho 0.7386 0.0947 0.3560  5 Tl 3.17-3.52, 1 Ho 3.50, 1 Pm 3.54
Tl 0.5000 0.5000 0.0000  6 Ho 3.18-3.19
Ho 0.7685 0.7263 0.0000  5 Tl 3.19-3.35, 1 Pm 3.48
Ho 0.2614 0.9053 0.6440  5 Tl 3.17-3.52, 1 Ho 3.50, 1 Pm 3.54
Ho 0.7386 0.4507 0.6440  5 Tl 3.17-3.52, 1 Ho 3.50, 1 Pm 3.54

Output
Energy relative to the lowest polymorph listed for this composition: 81 meV/atom
Calculated total energy: -46.3 eV for the cell shown
Space group: No. 12
Magnetization: 0.03 μB per atom
Formation energy from the elements: -0.183 eV/atom

# 4
Computed, not measured: BaNaZn2Rh after structural relaxation at the PBE-GGA level of DFT.

Unit cell a=4.9607 b=4.9607 c=5.2750 alpha=90.00 beta=90.00 gamma=90.00
With the nearest neighbours (Å) after each atom.
Element x y z (fractional)
Ba 0.5000 0.5000 0.5000  4 Na 3.51, 8 Zn 3.62
Zn 0.0000 0.5000 0.0000  2 Rh 2.48
Zn 0.5000 0.0000 0.0000  2 Rh 2.48
Na 0.0000 0.0000 0.5000  2 Rh 2.64
Rh 0.0000 0.0000 0.0000  4 Zn 2.48, 2 Na 2.64

Output
Calculated total energy: -13.7 eV for the cell shown
Space group: No. 123
Magnetization: 0.00 μB per atom
Formation energy from the elements: -0.119 eV/atom

The lowest formation energy from the elements belongs to which entry?
PmHo6Tl5

The lowest calculated total energy belongs to which entry?
PmHo6Tl5

Repeat the third record exactly.
Computed, not measured: PmHo6Tl5 after structural relaxation at the PBE-GGA level of DFT.

Unit cell a=6.1996 b=10.4172 c=7.6494 alpha=47.08 beta=80.87 gamma=76.52
With the nearest neighbours (Å) after each atom.
Element x y z (fractional)
Pm 0.0000 0.0000 0.0000  6 Tl 3.42-3.48, 6 Ho 3.48-3.54
Ho 0.2614 0.5493 0.3560  5 Tl 3.17-3.52, 1 Ho 3.50, 1 Pm 3.54
Tl 0.0000 0.6944 0.6111  6 Ho 3.17-3.28, 1 Pm 3.42
Tl 0.0000 0.3056 0.3889  6 Ho 3.17-3.28, 1 Pm 3.42
Tl 0.5000 0.1418 0.7165  1 Tl 3.18, 6 Ho 3.20-3.52, 2 Pm 3.48
Ho 0.2315 0.2737 0.0000  5 Tl 3.19-3.35, 1 Pm 3.48
Tl 0.5000 0.8582 0.2835  1 Tl 3.18, 6 Ho 3.20-3.52, 2 Pm 3.48
Ho 0.7386 0.0947 0.3560  5 Tl 3.17-3.52, 1 Ho 3.50, 1 Pm 3.54
Tl 0.5000 0.5000 0.0000  6 Ho 3.18-3.19
Ho 0.7685 0.7263 0.0000  5 Tl 3.19-3.35, 1 Pm 3.48
Ho 0.2614 0.9053 0.6440  5 Tl 3.17-3.52, 1 Ho 3.50, 1 Pm 3.54
Ho 0.7386 0.4507 0.6440  5 Tl 3.17-3.52, 1 Ho 3.50, 1 Pm 3.54

Output
Energy relative to the lowest polymorph listed for this composition: 81 meV/atom
Calculated total energy: -46.3 eV for the cell shown
Space group: No. 12
Magnetization: 0.03 μB per atom
Formation energy from the elements: -0.183 eV/atom